one:
Below is a geometry-optimized Pm4Ge2S structure, with properties calculated at the GGA-PBE level.

abc: 7.751 7.751 7.751
angles: 109.93 108.55 109.93
Positions (direct):
Pm 0.761 0.261 0.883
Pm 0.989 0.622 0.750
Pm 0.622 0.739 0.500
Pm 0.128 0.378 0.367
Pm 0.500 0.122 0.239
Pm 0.633 0.761 0.011
Pm 0.250 0.239 0.872
Pm 0.117 0.878 0.378
Ge 0.375 0.872 0.747
Ge 0.497 0.372 0.625
Ge 0.875 0.128 0.503
Ge 0.253 0.628 0.125
S 0.750 0.500 0.250
S 0.000 0.000 0.000

***

two:
Below is a geometry-optimized Pm4Ge2S structure, with properties calculated at the GGA-PBE level.

abc: 5.152 5.152 8.615
angles: 107.40 107.40 90.00
Positions (direct):
Ge 0.631 0.631 0.262
Ge 0.369 0.369 0.738
S 0.000 0.000 0.000
Pm 0.821 0.821 0.642
Pm 0.179 0.179 0.358
Pm 0.000 0.500 0.000
Pm 0.500 0.000 0.000

***

three:
Below is a geometry-optimized Pm4Ge2S structure, with properties calculated at the GGA-PBE level.

abc: 6.694 6.591 9.188
angles: 90.00 109.22 90.00
Positions (direct):
Pm 0.498 0.501 0.243
Pm 0.049 0.750 0.856
Pm 0.951 0.250 0.144
Pm 0.498 0.999 0.243
Pm 0.932 0.250 0.570
Pm 0.502 0.001 0.757
Pm 0.502 0.499 0.757
Pm 0.068 0.750 0.430
Ge 0.707 0.750 0.052
Ge 0.293 0.250 0.948
Ge 0.309 0.250 0.454
Ge 0.691 0.750 0.546
S 0.145 0.750 0.162
S 0.855 0.250 0.838

***

The data favor one; the next most stable structure lies 0.217 eV/atom above it.

***

one:
Below is a geometry-optimized Pm4GeS2 structure, with properties calculated at the GGA-PBE level.

abc: 4.097 6.882 13.594
angles: 90.00 90.00 107.32
Positions (direct):
Pm 0.774 0.548 0.122
Pm 0.774 0.548 0.378
Pm 0.226 0.452 0.878
Pm 0.226 0.452 0.622
Pm 0.946 0.892 0.750
Pm 0.054 0.108 0.250
Pm 0.500 0.000 0.000
Pm 0.500 0.000 0.500
Ge 0.608 0.216 0.750
Ge 0.392 0.784 0.250
S 0.136 0.273 0.438
S 0.864 0.727 0.938
S 0.136 0.273 0.062
S 0.864 0.727 0.562

***

two:
Below is a geometry-optimized Pm4GeS2 structure, with properties calculated at the GGA-PBE level.

abc: 4.226 7.288 12.020
angles: 90.00 90.00 90.00
Site moments in Bohr magnetons follow the coordinates.
Positions (direct):
Pm 0.000 0.624 0.781  0.03
Pm 0.000 0.376 0.219  0.03
Pm 0.000 0.124 0.719  0.03
Pm 0.000 0.876 0.281  0.03
Pm 0.500 0.740 0.546  0.08
Pm 0.500 0.260 0.454  0.08
Pm 0.500 0.760 0.046  0.08
Pm 0.500 0.240 0.954  0.08
Ge 0.000 0.000 0.500  -0.01
Ge 0.000 0.500 0.000  -0.01
S 0.500 0.896 0.810  0.00
S 0.500 0.104 0.190  0.00
S 0.500 0.396 0.690  0.00
S 0.500 0.604 0.310  0.00

***

The data favor one; the next most stable structure lies 0.135 eV/atom above it.

***

one:
Below is a geometry-optimized PmGe2Sb structure, with properties calculated at the GGA-PBE level.

abc: 3.902 3.902 6.194
angles: 90.00 90.00 90.00
Positions (direct):
Sb 0.500 0.500 0.000
Ge 0.000 0.000 0.772
Ge 0.000 0.000 0.228
Pm 0.500 0.500 0.500

***

two:
Below is a geometry-optimized PmGe2Sb structure, with properties calculated at the GGA-PBE level.

abc: 4.891 4.891 5.628
angles: 64.24 64.24 60.00
Positions (direct):
Sb 0.000 0.000 0.000
Ge 0.713 0.713 0.862
Ge 0.287 0.287 0.138
Pm 0.500 0.500 0.500

***

The data favor one; the next most stable structure lies 0.084 eV/atom above it.

***

one:
Below is a geometry-optimized PmGeSb2 structure, with properties calculated at the GGA-PBE level.

abc: 5.351 5.351 5.351
angles: 60.00 60.00 60.00
Positions (direct):
Sb 0.250 0.250 0.250
Sb 0.750 0.750 0.750
Ge 0.500 0.500 0.500
Pm 0.000 0.000 0.000

***

two:
Below is a geometry-optimized PmGeSb2 structure, with properties calculated at the GGA-PBE level.

abc: 4.602 4.722 4.722
angles: 90.00 90.00 90.00
Positions (direct):
Sb 0.000 0.000 0.500
Sb 0.000 0.500 0.000
Ge 0.500 0.000 0.000
Pm 0.500 0.500 0.500

***

three:
Below is a geometry-optimized PmGeSb2 structure, with properties calculated at the GGA-PBE level.

abc: 4.183 4.183 8.010
angles: 74.86 74.86 60.00
Positions (direct):
Sb 0.243 0.243 0.271
Sb 0.757 0.757 0.729
Ge 0.500 0.500 0.500
Pm 0.000 0.000 0.000

***

four:
Below is a geometry-optimized PmGeSb2 structure, with properties calculated at the GGA-PBE level.

abc: 4.133 4.133 6.142
angles: 90.00 90.00 90.00
Positions (direct):
Sb 0.000 0.000 0.758
Sb 0.000 0.000 0.242
Ge 0.500 0.500 0.000
Pm 0.500 0.500 0.500

***

The data favor four; the next most stable structure lies 0.008 eV/atom above it.

***

one:
Below is a geometry-optimized Pm4GeSb2 structure, with properties calculated at the GGA-PBE level.

abc: 5.377 5.377 9.008
angles: 107.36 107.36 90.00
Positions (direct):
Sb 0.633 0.633 0.267
Sb 0.367 0.367 0.733
Ge 0.000 0.000 0.000
Pm 0.826 0.826 0.652
Pm 0.174 0.174 0.348
Pm 0.000 0.500 0.000
Pm 0.500 0.000 0.000

***

two:
Below is a geometry-optimized Pm4GeSb2 structure, with properties calculated at the GGA-PBE level.

abc: 4.449 7.566 8.310
angles: 118.00 105.53 90.00
Site moments in Bohr magnetons follow the coordinates.
Positions (direct):
Pm 0.880 0.200 0.760  0.16
Pm 0.120 0.800 0.240  0.16
Pm 0.623 0.265 0.246  0.09
Pm 0.377 0.735 0.754  0.09
Ge 0.000 0.000 0.000  -0.03
Sb 0.736 0.736 0.471  -0.01
Sb 0.264 0.264 0.529  -0.01

***

The data favor two; the next most stable structure lies 0.175 eV/atom above it.

***

one:
Below is a geometry-optimized Pm3ScGe2 structure, with properties calculated at the GGA-PBE level.

abc: 4.354 8.510 10.560
angles: 72.41 78.10 75.18
Positions (direct):
Pm 0.051 0.129 0.769
Pm 0.949 0.871 0.231
Pm 0.645 0.715 0.995
Pm 0.355 0.285 0.005
Pm 0.768 0.838 0.625
Pm 0.232 0.162 0.375
Sc 0.424 0.494 0.659
Sc 0.576 0.506 0.341
Ge 0.852 0.471 0.824
Ge 0.148 0.529 0.176
Ge 0.615 0.213 0.557
Ge 0.385 0.787 0.443

***

two:
Below is a geometry-optimized Pm3ScGe2 structure, with properties calculated at the GGA-PBE level.

abc: 4.306 4.505 8.680
angles: 105.03 104.33 90.00
Positions (direct):
Pm 0.500 0.500 0.000
Pm 0.821 0.320 0.641
Pm 0.179 0.680 0.359
Sc 0.000 0.000 0.000
Ge 0.370 0.869 0.738
Ge 0.630 0.131 0.262

***

The data favor two; the next most stable structure lies 0.135 eV/atom above it.

***

one:
Below is a geometry-optimized Pm4GeSe2 structure, with properties calculated at the GGA-PBE level.

abc: 4.154 7.080 14.001
angles: 90.00 90.00 107.06
Positions (direct):
Pm 0.781 0.562 0.127
Pm 0.781 0.562 0.373
Pm 0.219 0.438 0.873
Pm 0.219 0.438 0.627
Pm 0.949 0.899 0.750
Pm 0.051 0.101 0.250
Pm 0.500 0.000 0.000
Pm 0.500 0.000 0.500
Ge 0.605 0.210 0.750
Ge 0.395 0.790 0.250
Se 0.140 0.279 0.436
Se 0.860 0.721 0.936
Se 0.140 0.279 0.064
Se 0.860 0.721 0.564

***

two:
Below is a geometry-optimized Pm4GeSe2 structure, with properties calculated at the GGA-PBE level.

abc: 4.334 7.495 12.261
angles: 90.00 90.00 90.00
Site moments in Bohr magnetons follow the coordinates.
Positions (direct):
Ge 0.000 0.000 0.500  0.00
Ge 0.000 0.500 0.000  0.00
Se 0.500 0.897 0.813  0.00
Se 0.500 0.103 0.187  0.00
Se 0.500 0.397 0.687  0.00
Se 0.500 0.603 0.313  0.00
Pm 0.000 0.621 0.785  0.03
Pm 0.000 0.379 0.215  0.03
Pm 0.000 0.121 0.715  0.03
Pm 0.000 0.879 0.285  0.03
Pm 0.500 0.753 0.550  0.05
Pm 0.500 0.247 0.450  0.05
Pm 0.500 0.747 0.050  0.05
Pm 0.500 0.253 0.950  0.05

***

The data favor one; the next most stable structure lies 0.049 eV/atom above it.

***

one:
Below is a geometry-optimized Pm3Si2Ge structure, with properties calculated at the GGA-PBE level.

abc: 4.167 11.913 11.847
angles: 90.00 90.00 90.00
Site moments in Bohr magnetons follow the coordinates.
Positions (direct):
Pm 0.250 0.379 0.060  0.05
Pm 0.750 0.621 0.940  0.05
Pm 0.750 0.879 0.440  0.05
Pm 0.250 0.121 0.560  0.05
Pm 0.250 0.703 0.203  0.06
Pm 0.750 0.297 0.797  0.06
Pm 0.750 0.203 0.297  0.06
Pm 0.250 0.797 0.703  0.06
Pm 0.250 0.442 0.381  0.03
Pm 0.750 0.558 0.619  0.03
Pm 0.750 0.942 0.119  0.03
Pm 0.250 0.058 0.881  0.03
Si 0.250 0.691 0.479  0.00
Si 0.750 0.309 0.521  0.00
Si 0.750 0.191 0.021  0.00
Si 0.250 0.809 0.979  0.00
Si 0.250 0.007 0.310  -0.01
Si 0.750 0.993 0.690  -0.01
Si 0.750 0.507 0.190  -0.01
Si 0.250 0.493 0.810  -0.01
Ge 0.250 0.130 0.132  0.00
Ge 0.750 0.870 0.868  0.00
Ge 0.750 0.630 0.368  0.00
Ge 0.250 0.370 0.632  0.00

***

two:
Below is a geometry-optimized Pm3Si2Ge structure, with properties calculated at the GGA-PBE level.

abc: 7.368 7.368 7.368
angles: 66.15 66.15 66.15
Positions (direct):
Pm 0.416 0.084 0.750
Pm 0.084 0.750 0.416
Pm 0.750 0.416 0.084
Pm 0.584 0.916 0.250
Pm 0.916 0.250 0.584
Pm 0.250 0.584 0.916
Si 0.330 0.330 0.330
Si 0.170 0.170 0.170
Si 0.830 0.830 0.830
Si 0.670 0.670 0.670
Ge 0.500 0.500 0.500
Ge 0.000 0.000 0.000

***

The data favor one; the next most stable structure lies 0.018 eV/atom above it.

***

one:
Below is a geometry-optimized Pm4SiGe2 structure, with properties calculated at the GGA-PBE level.

abc: 4.462 7.482 7.469
angles: 118.47 107.38 90.00
Positions (direct):
Pm 0.868 0.213 0.736
Pm 0.132 0.787 0.264
Pm 0.616 0.301 0.233
Pm 0.384 0.699 0.767
Si 0.000 0.000 0.000
Ge 0.764 0.761 0.527
Ge 0.236 0.239 0.473

***

two:
Below is a geometry-optimized Pm4SiGe2 structure, with properties calculated at the GGA-PBE level.

abc: 5.281 5.281 8.713
angles: 107.64 107.64 90.00
Positions (direct):
Ge 0.628 0.628 0.256
Ge 0.372 0.372 0.744
Si 0.000 0.000 0.000
Pm 0.817 0.817 0.633
Pm 0.183 0.183 0.367
Pm 0.000 0.500 0.000
Pm 0.500 0.000 0.000

***

The data favor one; the next most stable structure lies 0.256 eV/atom above it.